Record 1
DFT (PBE) results for a relaxed structure of TbEuAlSn.

Geometry as CIF:
```
data_TbEuAlSn
_chemical_formula_sum 'Tb4 Eu4 Al4 Sn4'
_symmetry_space_group_name_H-M 'F -4 3 m'
_symmetry_Int_Tables_number 216
_symmetry_space_group_name_Hall 'F -4 2 3'
_cell_length_a 7.5326
_cell_length_b 7.5326
_cell_length_c 7.5326
_cell_angle_alpha 90.00
_cell_angle_beta 90.00
_cell_angle_gamma 90.00
loop_
_atom_site_label
_atom_site_type_symbol
_atom_site_fract_x
_atom_site_fract_y
_atom_site_fract_z
_atom_site_occupancy
Tb1 Tb 0.0000 0.0000 0.0000 1
Eu1 Eu 0.0000 0.0000 0.5000 1
Al1 Al 0.2500 0.2500 0.2500 1
Sn1 Sn 0.2500 0.2500 0.7500 1
```

Calculated values
* ΔH_f (0 K): -0.430 eV/atom
* total magnetization: 7.03 μB/f.u.
* DOS(E_F): 7.3 states/eV/cell

***

Record 2
DFT (PBE) results for a relaxed structure of EuTmAlSn.

Geometry as CIF:
```
data_EuTmAlSn
_chemical_formula_sum 'Eu4 Tm4 Al4 Sn4'
_symmetry_space_group_name_H-M 'F -4 3 m'
_symmetry_Int_Tables_number 216
_symmetry_space_group_name_Hall 'F -4 2 3'
_cell_length_a 7.4708
_cell_length_b 7.4708
_cell_length_c 7.4708
_cell_angle_alpha 90.00
_cell_angle_beta 90.00
_cell_angle_gamma 90.00
loop_
_atom_site_label
_atom_site_type_symbol
_atom_site_fract_x
_atom_site_fract_y
_atom_site_fract_z
_atom_site_occupancy
Eu1 Eu 0.0000 0.0000 0.0000 1
Tm1 Tm 0.0000 0.0000 0.5000 1
Al1 Al 0.2500 0.2500 0.7500 1
Sn1 Sn 0.2500 0.2500 0.2500 1
```

Calculated values
* ΔH_f (0 K): -0.407 eV/atom
* total magnetization: 7.10 μB/f.u.
* DOS(E_F): 7.9 states/eV/cell

***

Record 3
DFT (PBE) results for a relaxed structure of EuYAlSn.

Geometry as CIF:
```
data_EuYAlSn
_chemical_formula_sum 'Eu4 Y4 Al4 Sn4'
_symmetry_space_group_name_H-M 'F -4 3 m'
_symmetry_Int_Tables_number 216
_symmetry_space_group_name_Hall 'F -4 2 3'
_cell_length_a 7.5247
_cell_length_b 7.5247
_cell_length_c 7.5247
_cell_angle_alpha 90.00
_cell_angle_beta 90.00
_cell_angle_gamma 90.00
loop_
_atom_site_label
_atom_site_type_symbol
_atom_site_fract_x
_atom_site_fract_y
_atom_site_fract_z
_atom_site_occupancy
Eu1 Eu 0.0000 0.0000 0.0000 1
Y1 Y 0.0000 0.0000 0.5000 1
Al1 Al 0.2500 0.2500 0.7500 1
Sn1 Sn 0.2500 0.2500 0.2500 1
```

Calculated values
* ΔH_f (0 K): -0.441 eV/atom
* total magnetization: 7.03 μB/f.u.
* DOS(E_F): 7.2 states/eV/cell

***

Record 4
DFT (PBE) results for a relaxed structure of SrEu2Al.

Geometry as CIF:
```
data_SrEu2Al
_chemical_formula_sum 'Sr1 Eu2 Al1'
_symmetry_space_group_name_H-M 'P 4/m m m'
_symmetry_Int_Tables_number 123
_symmetry_space_group_name_Hall '-P 4 2'
_cell_length_a 5.1211
_cell_length_b 5.1211
_cell_length_c 5.2619
_cell_angle_alpha 90.00
_cell_angle_beta 90.00
_cell_angle_gamma 90.00
loop_
_atom_site_label
_atom_site_type_symbol
_atom_site_fract_x
_atom_site_fract_y
_atom_site_fract_z
_atom_site_occupancy
Sr1 Sr 0.0000 0.0000 0.0000 1
Eu1 Eu 0.0000 0.5000 0.5000 1
Al1 Al 0.5000 0.5000 0.0000 1
```

Calculated values
* ΔH_f (0 K): 0.014 eV/atom
* distance to the lowest polymorph of the same formula: 11.2 kJ/mol of atoms
* total magnetization: 14.92 μB/f.u.
* DOS(E_F): 12.9 states/eV/cell

***

Record 5
DFT (PBE) results for a relaxed structure of SrEu2Al.

Geometry as CIF:
```
data_SrEu2Al
_chemical_formula_sum 'Sr1 Eu2 Al1'
_symmetry_space_group_name_H-M 'P 4/m m m'
_symmetry_Int_Tables_number 123
_symmetry_space_group_name_Hall '-P 4 2'
_cell_length_a 3.9136
_cell_length_b 3.9136
_cell_length_c 9.7140
_cell_angle_alpha 90.00
_cell_angle_beta 90.00
_cell_angle_gamma 90.00
loop_
_atom_site_label
_atom_site_type_symbol
_atom_site_fract_x
_atom_site_fract_y
_atom_site_fract_z
_atom_site_occupancy
Sr1 Sr 0.0000 0.0000 0.0000 1
Eu1 Eu 0.5000 0.5000 0.3182 1
Al1 Al 0.0000 0.0000 0.5000 1
```

Calculated values
* ΔH_f (0 K): -0.101 eV/atom
* distance to the lowest polymorph of the same formula: 0.0 kJ/mol of atoms
* total magnetization: 14.57 μB/f.u.
* DOS(E_F): 12.9 states/eV/cell

***

Record 6
DFT (PBE) results for a relaxed structure of SrEu2Al.

Geometry as CIF:
```
data_SrEu2Al
_chemical_formula_sum 'Sr4 Eu8 Al4'
_symmetry_space_group_name_H-M 'F m -3 m'
_symmetry_Int_Tables_number 225
_symmetry_space_group_name_Hall '-F 4 2 3'
_cell_length_a 8.1491
_cell_length_b 8.1491
_cell_length_c 8.1491
_cell_angle_alpha 90.00
_cell_angle_beta 90.00
_cell_angle_gamma 90.00
loop_
_atom_site_label
_atom_site_type_symbol
_atom_site_fract_x
_atom_site_fract_y
_atom_site_fract_z
_atom_site_occupancy
Sr1 Sr 0.0000 0.0000 0.0000 1
Eu1 Eu 0.2500 0.2500 0.2500 1
Al1 Al 0.0000 0.0000 0.5000 1
```

Calculated values
* ΔH_f (0 K): 0.021 eV/atom
* distance to the lowest polymorph of the same formula: 11.8 kJ/mol of atoms
* total magnetization: 14.82 μB/f.u.
* DOS(E_F): 45.5 states/eV/cell

***

Record 7
DFT (PBE) results for a relaxed structure of SrEuAlTl.

Geometry as CIF:
```
data_SrEuAlTl
_chemical_formula_sum 'Sr4 Eu4 Al4 Tl4'
_symmetry_space_group_name_H-M 'F -4 3 m'
_symmetry_Int_Tables_number 216
_symmetry_space_group_name_Hall 'F -4 2 3'
_cell_length_a 7.9212
_cell_length_b 7.9212
_cell_length_c 7.9212
_cell_angle_alpha 90.00
_cell_angle_beta 90.00
_cell_angle_gamma 90.00
loop_
_atom_site_label
_atom_site_type_symbol
_atom_site_fract_x
_atom_site_fract_y
_atom_site_fract_z
_atom_site_occupancy
Sr1 Sr 0.0000 0.0000 0.0000 1
Eu1 Eu 0.0000 0.0000 0.5000 1
Al1 Al 0.2500 0.2500 0.2500 1
Tl1 Tl 0.2500 0.2500 0.7500 1
```

Calculated values
* ΔH_f (0 K): -0.272 eV/atom
* total magnetization: 7.14 μB/f.u.
* DOS(E_F): 30.7 states/eV/cell

***

Record 8
DFT (PBE) results for a relaxed structure of SrEuAlZn.

Geometry as CIF:
```
data_SrEuAlZn
_chemical_formula_sum 'Sr4 Eu4 Al4 Zn4'
_symmetry_space_group_name_H-M 'F -4 3 m'
_symmetry_Int_Tables_number 216
_symmetry_space_group_name_Hall 'F -4 2 3'
_cell_length_a 7.7185
_cell_length_b 7.7185
_cell_length_c 7.7185
_cell_angle_alpha 90.00
_cell_angle_beta 90.00
_cell_angle_gamma 90.00
loop_
_atom_site_label
_atom_site_type_symbol
_atom_site_fract_x
_atom_site_fract_y
_atom_site_fract_z
_atom_site_occupancy
Sr1 Sr 0.0000 0.0000 0.0000 1
Eu1 Eu 0.0000 0.0000 0.5000 1
Al1 Al 0.2500 0.2500 0.2500 1
Zn1 Zn 0.2500 0.2500 0.7500 1
```

Calculated values
* ΔH_f (0 K): -0.179 eV/atom
* total magnetization: 6.97 μB/f.u.
* DOS(E_F): 41.2 states/eV/cell